A relaxed structure of BeCoO2F. Source: Alexandria via LeMat-Bulk, functional PBE+U.

a = 3.730 Å, b = 3.730 Å, c = 3.710 Å
α = 90.00°, β = 90.00°, γ = 90.00°
Space group P4/mmm (No. 123)
Asymmetric unit:
Be 0.000 0.000 0.000 x1
Co 0.500 0.500 0.500 x1
O 0.000 0.500 0.500 x2
F 0.500 0.500 0.000 x1

Output
Final energy in eV for the cell shown: -23.23


A relaxed structure of Be2CoPbF. Source: Alexandria via LeMat-Bulk, functional PBE+U.

a = 4.695 Å, b = 4.695 Å, c = 4.588 Å
α = 90.00°, β = 90.00°, γ = 90.00°
Space group P4/mmm (No. 123)
Asymmetric unit:
Be 0.000 0.500 0.000 x2
Co 0.000 0.000 0.500 x1
Pb 0.500 0.500 0.000 x1
F 0.500 0.500 0.500 x1

Output
Final energy in eV for the cell shown: -14.58